No. 1
8
Lattice="1.131 5.301 5.572 -1.623 -7.235 2.335 3.217 -0.713 0.026" Properties=species:S:1:pos:R:3 comment="GGA-PBE NaMg6C, relaxed" formation_enthalpy_0k_ev_per_fu=2.376 dos_ef_per_ev_fu=3.0 de_polymorph_ev_per_atom=0.0000 pbc="T T T"
Mg 2.519 3.941 5.326
Mg 1.577 -0.400 2.744
Mg -0.715 -3.050 4.871
Na -1.242 -5.502 2.783
C 1.102 -2.510 3.661
Mg -0.545 -2.380 2.134
Mg 1.406 -1.072 5.492
Mg 0.364 1.811 4.671

***

No. 2
3
Lattice="-4.429 0.989 -0.531 2.078 -2.822 -2.932 -1.351 -4.327 3.208" Properties=species:S:1:pos:R:3 comment="GGA-PBE KCaRh, relaxed" formation_enthalpy_0k_ev_per_fu=0.894 dos_ef_per_ev_fu=1.6 pbc="T T T"
Ca -1.082 -3.467 2.570
Rh -1.308 -5.450 0.759
K -2.662 -1.570 -0.375

***

No. 3
4
Lattice="4.736 0.000 0.000 2.368 4.101 0.000 2.368 1.367 3.867" Properties=species:S:1:pos:R:3 comment="GGA-PBE CeUZnTc, relaxed" formation_enthalpy_0k_ev_per_fu=0.032 dos_ef_per_ev_fu=8.9 pbc="T T T"
Ce 4.736 2.734 1.933
Tc 0.000 0.000 0.000
U 7.104 4.101 2.900
Zn 2.368 1.367 0.967

***

No. 4
5
Lattice="5.061 0.000 0.000 0.000 5.252 0.000 0.000 0.000 5.061" Properties=species:S:1:pos:R:3 comment="GGA-PBE Sc2TaGaI, relaxed" formation_energy_uncorrected_mev_per_atom=1166 dos_ef_per_ev_fu=11.6 pbc="T T T"
I 0.000 2.626 0.000
Ta 2.531 2.626 2.531
Ga 0.000 0.000 0.000
Sc 2.531 0.000 0.000
Sc 0.000 0.000 2.531

***

No. 5
14
Lattice="-0.991 3.636 -1.964 -4.529 -2.606 2.059 1.441 6.655 11.591" Properties=species:S:1:pos:R:3 comment="GGA-PBE Ce3AlCu3, relaxed" formation_enthalpy_0k_ev_per_fu=-1.225 dos_ef_per_ev_fu=17.0 pbc="T T T"
Cu -3.462 7.196 10.471
Al -0.496 1.818 -0.982
Ce -3.252 2.050 0.838
Cu -2.359 6.347 8.343
Ce -1.251 3.683 7.448
Cu -0.159 2.604 4.901
Ce -0.150 3.480 1.919
Cu -0.617 0.489 1.216
Ce -3.930 4.205 9.768
Al 0.225 5.146 4.814
Cu -1.720 1.338 3.344
Cu -3.920 5.081 6.786
Ce -0.828 5.635 10.848
Ce -2.829 4.002 4.239

***

No. 6
16
Lattice="-1.038 6.415 -4.309 -3.718 -6.945 -2.390 -6.934 4.319 8.100" Properties=species:S:1:pos:R:3 comment="GGA-PBE Hg3TeBr4, relaxed" formation_energy_uncorrected_mev_per_atom=-398 de_polymorph_ev_per_atom=0.0038 pbc="T T T"
Br -5.193 0.902 -1.227
Br -7.132 -1.644 1.477
Br -4.603 5.376 -0.248
Hg -6.286 0.051 -3.514
Br -7.731 5.438 5.211
Hg -3.376 -3.726 -1.581
Br -2.171 -2.042 0.020
Hg -7.306 1.301 0.544
Hg -7.393 7.991 4.313
Te -1.937 1.736 0.738
Te -6.101 8.207 1.892
Hg -3.587 3.731 1.675
Br -8.097 -0.413 5.157
Br -3.990 -1.797 -3.921
Br -6.011 2.425 2.520
Hg -9.002 -2.431 3.654

***

No. 7
4
Lattice="3.546 0.000 0.000 0.000 3.546 0.000 0.000 0.000 7.389" Properties=species:S:1:pos:R:3 comment="GGA-PBE YSc2Mn, relaxed" formation_enthalpy_0k_ev_per_fu=0.423 dos_ef_per_ev_fu=5.3 de_polymorph_ev_per_atom=0.0194 pbc="T T T"
Y 0.000 0.000 3.955
Sc 1.773 1.773 1.603
Mn 1.773 1.773 5.830
Sc 0.000 0.000 7.085

***

No. 8
4
Lattice="7.073 0.009 -0.002 3.153 6.331 0.002 -3.909 -5.111 2.936" Properties=species:S:1:pos:R:3 comment="GGA-PBE Te3W, relaxed" formation_energy_uncorrected_mev_per_atom=109 dos_ef_per_ev_fu=1.7 de_polymorph_ev_per_atom=0.0000 pbc="T T T"
Te 1.110 0.368 0.133
W 2.839 1.129 2.082
Te 4.290 2.340 0.133
Te 4.245 -1.138 1.566

***

No. 9
4
Lattice="3.525 0.000 0.000 0.000 5.373 0.000 0.000 0.000 4.602" Properties=species:S:1:pos:R:3 comment="GGA-PBE MgOsPb2, relaxed" formation_enthalpy_0k_ev_per_fu=2.706 dos_ef_per_ev_fu=2.9 pbc="T T T"
Os 0.000 2.686 2.301
Pb 1.762 2.686 0.000
Pb 0.000 0.000 0.000
Mg 1.762 0.000 2.301

***

No. 10
5
Lattice="-1.569 -2.412 -3.348 -3.133 -1.634 2.646 -2.685 3.317 -1.131" Properties=species:S:1:pos:R:3 comment="GGA-PBE Be3PdBr, relaxed" formation_energy_uncorrected_mev_per_atom=524 dos_ef_per_ev_fu=2.1 de_polymorph_ev_per_atom=0.0000 pbc="T T T"
Be -0.785 -1.206 -1.674
Br -3.694 -0.365 -0.917
Pd 0.000 0.000 0.000
Be -1.567 -0.817 1.323
Be -1.343 1.658 -0.566

***

No. 11
4
Lattice="-2.340 -1.359 2.078 0.638 -0.274 3.340 -3.770 6.834 3.024" Properties=species:S:1:pos:R:3 comment="GGA-PBE Na2InF, relaxed" formation_energy_uncorrected_mev_per_atom=-1341 dos_ef_per_ev_fu=1.9 de_polymorph_ev_per_atom=0.0000 pbc="T T T"
F 0.000 0.000 0.000
Na -1.102 0.687 2.009
Na -4.369 4.513 6.433
In -2.736 2.600 4.221

***

No. 12
9
Lattice="5.088 0.000 0.000 2.544 7.653 0.000 2.544 0.000 7.653" Properties=species:S:1:pos:R:3 comment="GGA-PBE LaSm4Dy4, relaxed" formation_enthalpy_0k_ev_per_fu=0.184 dos_ef_per_ev_fu=13.1 pbc="T T T"
Dy 7.632 5.083 7.652
Dy 5.088 0.000 5.083
Sm 7.632 5.103 2.550
Sm 5.088 5.103 5.103
Sm 2.544 2.549 5.103
Dy 2.544 2.570 0.000
Sm 5.088 2.550 2.549
Dy 5.088 7.652 2.570
La 0.000 0.000 0.000

***

Calculated electronic total energy, -2.217; -3.185; -7.207; -4.652; -5.008; -1.741; -6.968; -5.486; -4.384; -3.085; -3.153; -4.670 eV per atom (same order as the records).